Entry 1:
This record from the Alexandria database describes an optimized crystal structure of Fe2PPd2. The functional is GGA-PBE.

abc: 5.606 5.606 4.182
angles: 90.00 90.00 90.00
Positions (direct):
Fe (0.138, 0.362, 0.000)
Fe (0.362, 0.862, 0.000)
Fe (0.638, 0.138, 0.000)
Fe (0.862, 0.638, 0.000)
P (0.000, 0.000, 0.000)
P (0.500, 0.500, 0.000)
Pd (0.173, 0.673, 0.500)
Pd (0.327, 0.173, 0.500)
Pd (0.673, 0.827, 0.500)
Pd (0.827, 0.327, 0.500)

For the formation enthalpy at 0 K, the calculation gives 1.9 meV per atom. The calculation puts the volume at 131.44 Å³ per cell. The value obtained for the electronic total energy is -32.71 eV/f.u. As for the space group: P4/mbm.

---

Entry 2:
This record from the Alexandria database describes an optimized crystal structure of FeRePPd2. The functional is GGA-PBE.

abc: 4.833 4.833 4.405
angles: 90.00 90.00 90.00
Positions (direct):
Fe (0.000, 0.000, 0.000)
Re (0.000, 0.000, 0.500)
P (0.500, 0.500, 0.000)
Pd (0.000, 0.500, 0.500)
Pd (0.500, 0.000, 0.500)

For the formation enthalpy at 0 K, the calculation gives 1557.1 meV per atom. The calculation puts the volume at 102.88 Å³ per cell. The value obtained for the electronic total energy is -28.92 eV/f.u. As for the space group: P4/mmm.

---

formation enthalpy at 0 K of number 1 (Fe2PPd2)?
1.9 meV per atom

---

Number 2 is which compound?
FeRePPd2